Below is a geometry-optimized InC2 structure, with properties calculated at the PBE-GGA level.

The value obtained for the energy above the most stable polymorph in this dataset is 102 kJ/mol of formula units. The calculation puts the formation energy from the elements at 3.066 eV per formula unit.

The structure belongs to space group P6_3/mmc (No. 194); the cell edges are 3.5256, 3.5256 and 7.9265 Å and the angles 90.00°, 90.00° and 120.00°. The inequivalent atoms are In at (0.0000, 0.0000, 0.0000) and C at (0.3333, 0.6667, 0.1687).



Below is a geometry-optimized In2C structure, with properties calculated at the PBE-GGA level.

The calculation puts the formation energy from the elements at 3.946 eV per formula unit.

The structure belongs to space group I4/mcm (No. 140); the cell edges are 5.865, 5.865 and 6.391 Å and the angles 90.00°, 90.00° and 90.00°. The inequivalent atoms are In at (0.182, 0.318, 0.000) and C at (0.000, 0.000, 0.250).



Below is a geometry-optimized InC structure, with properties calculated at the PBE-GGA level.

The value obtained for the energy above the most stable polymorph in this dataset is 217 kJ/mol of formula units. The calculation puts the formation energy from the elements at 3.670 eV per formula unit.

The structure belongs to space group P4/nmm (No. 129, origin choice 2); the cell edges are 4.363, 4.363 and 4.217 Å and the angles 90.00°, 90.00° and 90.00°. The inequivalent atoms are In at (0.250, 0.250, 0.152) and C at (0.250, 0.750, 0.000).



Below is a geometry-optimized In3C4 structure, with properties calculated at the PBE-GGA level.

The value obtained for the energy above the most stable polymorph in this dataset is 454 kJ/mol of formula units. The calculation puts the formation energy from the elements at 15.452 eV per formula unit.

The structure belongs to space group Pm-3m (No. 221); the cell edges are 4.726, 4.726 and 4.726 Å and the angles 90.00°, 90.00° and 90.00°. The inequivalent atoms are In at (0.000, 0.000, 0.500), C at (0.000, 0.000, 0.000) and C at (0.000, 0.500, 0.500).



Below is a geometry-optimized InC2 structure, with properties calculated at the PBE-GGA level.

The value obtained for the energy above the most stable polymorph in this dataset is 699 kJ/mol of formula units. The calculation puts the formation energy from the elements at 9.259 eV per formula unit.

The structure belongs to space group Fd-3m (No. 227, origin choice 2); the cell edges are 6.659, 6.659 and 6.659 Å and the angles 90.00°, 90.00° and 90.00°. The inequivalent atoms are In at (0.125, 0.125, 0.125) and C at (0.000, 0.000, 0.500).



Below is a geometry-optimized In2C structure, with properties calculated at the PBE-GGA level.

The calculation puts the formation energy from the elements at 2.943 eV per formula unit.

The structure belongs to space group R-3m (No. 166, hexagonal axes); the cell edges are 3.5690, 3.5690 and 15.4476 Å and the angles 90.00°, 90.00° and 120.00°. The inequivalent atoms are In at (0.0000, 0.0000, 0.2481) and C at (0.0000, 0.0000, 0.5000).



The lowest formation energy from the elements belongs to which entry?
number 6